Record 1
## Pm3SmEr2 (GGA-PBE)

Data for Pm3SmEr2 after structural relaxation.

Cell lengths 9.5262, 9.5262, 6.2250 Å; angles 90.15, 90.15, 44.37 degrees
Closest atoms and distances in Å follow each position.
Element x y z (fractional)
1 Pm 0.1242 0.8758 0.7500  4 Sm 3.59-3.61, 4 Pm 3.59-3.61, 4 Er 3.60-3.61
2 Pm 0.2067 0.4579 0.5838  4 Pm 3.57-3.61, 6 Er 3.57-3.61, 2 Sm 3.62
3 Pm 0.4579 0.2067 0.0838  4 Pm 3.57-3.61, 6 Er 3.57-3.61, 2 Sm 3.62
4 Pm 0.5421 0.7933 0.9162  4 Pm 3.57-3.61, 6 Er 3.57-3.61, 2 Sm 3.62
5 Pm 0.7933 0.5421 0.4162  4 Pm 3.57-3.61, 6 Er 3.57-3.61, 2 Sm 3.62
6 Pm 0.8758 0.1242 0.2500  4 Sm 3.59-3.61, 4 Pm 3.59-3.61, 4 Er 3.60-3.61
7 Sm 0.3743 0.6257 0.2500  8 Pm 3.59-3.62, 2 Sm 3.60, 2 Er 3.61
8 Sm 0.6257 0.3743 0.7500  8 Pm 3.59-3.62, 2 Sm 3.60, 2 Er 3.61
9 Er 0.0429 0.2916 0.9173  8 Pm 3.57-3.61, 3 Er 3.58-3.59, 1 Sm 3.61
10 Er 0.2916 0.0429 0.4173  8 Pm 3.57-3.61, 3 Er 3.58-3.59, 1 Sm 3.61
11 Er 0.7084 0.9571 0.5827  8 Pm 3.57-3.61, 3 Er 3.58-3.59, 1 Sm 3.61
12 Er 0.9571 0.7084 0.0827  8 Pm 3.57-3.61, 3 Er 3.58-3.59, 1 Sm 3.61

Output
Space group   C2/c (15)
Energy relative to the elements   0.018 eV per atom

=====

Record 2
## Tb4Pr2Nd3 (GGA-PBE)

Data for Tb4Pr2Nd3 after structural relaxation.

Cell lengths 10.2834, 10.2834, 6.1751 Å; angles 95.74, 95.74, 70.08 degrees
Closest atoms and distances in Å follow each position.
Element x y z (fractional)
1 Tb 0.0498 0.8294 0.9575  3 Tb 3.31-3.47, 4 Nd 3.49-3.62, 1 Pr 3.58
2 Tb 0.1553 0.3802 0.1312  2 Pr 3.44-3.50, 4 Nd 3.44-3.62, 2 Tb 3.47-3.65
3 Tb 0.1706 0.9502 0.5425  3 Tb 3.31-3.47, 4 Nd 3.49-3.62, 1 Pr 3.58
4 Tb 0.3802 0.1553 0.6312  2 Pr 3.44-3.50, 4 Nd 3.44-3.62, 2 Tb 3.47-3.65
5 Tb 0.6198 0.8447 0.3688  2 Pr 3.44-3.50, 4 Nd 3.44-3.62, 2 Tb 3.47-3.65
6 Tb 0.8294 0.0498 0.4575  3 Tb 3.31-3.47, 4 Nd 3.49-3.62, 1 Pr 3.58
7 Tb 0.8447 0.6198 0.8688  2 Pr 3.44-3.50, 4 Nd 3.44-3.62, 2 Tb 3.47-3.65
8 Tb 0.9502 0.1706 0.0425  3 Tb 3.31-3.47, 4 Nd 3.49-3.62, 1 Pr 3.58
9 Pr 0.2739 0.5104 0.7171  4 Nd 3.40-3.61, 3 Tb 3.44-3.58, 1 Pr 3.60
10 Pr 0.4896 0.7261 0.7829  4 Nd 3.40-3.61, 3 Tb 3.44-3.58, 1 Pr 3.60
11 Pr 0.5104 0.2739 0.2171  4 Nd 3.40-3.61, 3 Tb 3.44-3.58, 1 Pr 3.60
12 Pr 0.7261 0.4896 0.2829  4 Nd 3.40-3.61, 3 Tb 3.44-3.58, 1 Pr 3.60
13 Nd 0.0154 0.3121 0.5877  1 Pr 3.40, 8 Tb 3.44-3.79
14 Nd 0.3121 0.0154 0.0877  1 Pr 3.40, 8 Tb 3.44-3.79
15 Nd 0.3548 0.6452 0.2500  4 Tb 3.49-3.91, 6 Pr 3.57-3.61, 2 Nd 3.90
16 Nd 0.6452 0.3548 0.7500  4 Tb 3.49-3.91, 6 Pr 3.57-3.61, 2 Nd 3.90
17 Nd 0.6879 0.9846 0.9123  1 Pr 3.40, 8 Tb 3.44-3.79
18 Nd 0.9846 0.6879 0.4123  1 Pr 3.40, 8 Tb 3.44-3.79

Output
Space group   C2/c (15)
Energy relative to the elements   0.090 eV per atom

=====

Record 3
## NdZrZnHg (GGA-PBE)

Data for NdZrZnHg after structural relaxation.

Cell lengths 5.1082, 5.1082, 5.1082 Å; angles 60.00, 60.00, 60.00 degrees
Closest atoms and distances in Å follow each position.
Element x y z (fractional)
1 Nd 0.0000 0.0000 0.0000  4 Hg 3.13, 4 Zn 3.13
2 Zr 0.5000 0.5000 0.5000  4 Hg 3.13, 4 Zn 3.13
3 Zn 0.2500 0.2500 0.2500  4 Zr 3.13, 4 Nd 3.13
4 Hg 0.7500 0.7500 0.7500  4 Zr 3.13, 4 Nd 3.13

Output
Space group   F-43m (216)
Energy relative to the elements   -0.167 eV per atom